TbLuZr2 | PBE | optimized geometry

Summary:
* E: -6.4586 eV/atom
* energy of formation from the pure elements: 103 meV/atom

abc: 4.753 4.694 4.694
angles: 90.00 90.00 90.00
Positions (direct):
Lu 0.500 0.000 0.000
Tb 0.500 0.500 0.500
Zr 0.000 0.000 0.500
Zr 0.000 0.500 0.000

TbLuZr2 | PBE | optimized geometry

Summary:
* E: -6.3531 eV/atom
* energy of formation from the pure elements: 209 meV/atom

abc: 3.898 3.898 6.902
angles: 90.00 90.00 90.00
Positions (direct):
Lu 0.500 0.500 0.000
Tb 0.500 0.500 0.500
Zr 0.000 0.000 0.773
Zr 0.000 0.000 0.227

TbLuZr2 | PBE | optimized geometry

Summary:
* E: -6.4522 eV/atom
* energy of formation from the pure elements: 110 meV/atom

abc: 3.321 3.321 11.115
angles: 81.41 81.41 60.00
Positions (direct):
Lu 0.000 0.000 0.000
Tb 0.500 0.500 0.500
Zr 0.749 0.749 0.752
Zr 0.251 0.251 0.248

Here are the calculated volume numbers, same order: 104.71, 104.86, 104.55 (Å³ per cell).
Here are the calculated magnetization numbers, same order: 0.00, 0.00, 0.00 (μB/f.u.).